{"formula": "LiPb2F", "functional": "PBE-GGA", "state": "relaxed", "cell": [[4.0337, 2.7565, 0.5924], [-0.1067, 3.9065, 2.9913], [2.4453, -0.1027, 4.2696]], "species": ["Pb", "Pb", "Li", "F"], "fractional_positions": [[0.7500, 0.7500, 0.7500], [0.2500, 0.2500, 0.2500], [0.0000, 0.0000, 0.0000], [0.5000, 0.5000, 0.5000]], "e_above_lowest_polymorph_kcal_per_mol_atoms": 0.313, "raw_formation_energy_ev_per_atom": -0.588, "rho_g_cm3": 8.68, "energy_ev_per_cell": -13.553}


{"formula": "LiPbF2", "functional": "PBE-GGA", "state": "relaxed", "cell": [[1.4310, -4.7395, 5.0310], [4.3848, -3.9624, 3.8593], [2.9482, -2.0381, 6.0807]], "species": ["Li", "F", "F", "Pb"], "fractional_positions": [[0.5000, 0.5000, 0.5000], [0.1149, 0.1149, 0.1149], [0.8851, 0.8851, 0.8851], [0.0000, 0.0000, 0.0000]], "e_above_lowest_polymorph_kcal_per_mol_atoms": 0.000, "raw_formation_energy_ev_per_atom": -2.182, "rho_g_cm3": 6.64, "energy_ev_per_cell": -18.095}


{"formula": "LiPb2F4", "functional": "PBE-GGA", "state": "relaxed", "cell": [[-4.9723, -3.0946, -1.0630], [2.8383, -4.8653, 0.8875], [1.2976, 2.1279, 7.5151]], "species": ["F", "F", "F", "F", "F", "F", "F", "F", "Pb", "Pb", "Pb", "Pb", "Li", "Li"], "fractional_positions": [[0.0027, 0.7500, 0.3236], [0.4515, 0.9942, 0.3129], [0.9973, 0.2500, 0.6764], [0.0061, 0.7500, 0.9313], [0.5485, 0.0058, 0.6871], [0.4515, 0.5058, 0.3129], [0.9939, 0.2500, 0.0687], [0.5485, 0.4942, 0.6871], [0.6328, 0.7500, 0.0110], [0.2172, 0.2500, 0.4181], [0.7828, 0.7500, 0.5819], [0.3672, 0.2500, 0.9890], [0.7890, 0.2500, 0.8056], [0.2110, 0.7500, 0.1944]], "raw_formation_energy_ev_per_atom": -2.206, "rho_g_cm3": 6.87, "energy_ev_per_cell": -64.521}


Repeat the second record exactly.
{"formula": "LiPbF2", "functional": "PBE-GGA", "state": "relaxed", "cell": [[1.4310, -4.7395, 5.0310], [4.3848, -3.9624, 3.8593], [2.9482, -2.0381, 6.0807]], "species": ["Li", "F", "F", "Pb"], "fractional_positions": [[0.5000, 0.5000, 0.5000], [0.1149, 0.1149, 0.1149], [0.8851, 0.8851, 0.8851], [0.0000, 0.0000, 0.0000]], "e_above_lowest_polymorph_kcal_per_mol_atoms": 0.000, "raw_formation_energy_ev_per_atom": -2.182, "rho_g_cm3": 6.64, "energy_ev_per_cell": -18.095}


What did the first record say?
{"formula": "LiPb2F", "functional": "PBE-GGA", "state": "relaxed", "cell": [[4.0337, 2.7565, 0.5924], [-0.1067, 3.9065, 2.9913], [2.4453, -0.1027, 4.2696]], "species": ["Pb", "Pb", "Li", "F"], "fractional_positions": [[0.7500, 0.7500, 0.7500], [0.2500, 0.2500, 0.2500], [0.0000, 0.0000, 0.0000], [0.5000, 0.5000, 0.5000]], "e_above_lowest_polymorph_kcal_per_mol_atoms": 0.313, "raw_formation_energy_ev_per_atom": -0.588, "rho_g_cm3": 8.68, "energy_ev_per_cell": -13.553}